[1]
## Ba3CdCu2O6 (PBE)

Data for an optimized crystal structure of Ba3CdCu2O6.

DOS at the Fermi energy ... 0.389 states/eV per atom
E_form (uncorrected) ... -1.47 eV/atom
Total DFT energy (no corrections) ... -5.192 eV/atom

a b c (Å): 6.156 6.156 6.948
angles (deg): 90.00 90.00 120.00
Atoms (fractional coordinates):
Ba  0.333  0.667  0.651
Ba  0.667  0.333  0.349
Ba  0.000  0.000  0.000
Cd  0.000  0.000  0.500
Cu  0.667  0.333  0.785
Cu  0.333  0.667  0.215
O  0.666  0.833  0.293
O  0.167  0.334  0.293
O  0.167  0.833  0.293
O  0.833  0.666  0.707
O  0.334  0.167  0.707
O  0.833  0.167  0.707


[2]
## LaFe2W (PBE)

Data for an optimized crystal structure of LaFe2W.

DOS at the Fermi energy ... 1.553 states/eV per atom
Total DFT energy (no corrections) ... -8.449 eV/atom
Formation enthalpy at 0 K ... 1.0 eV per formula unit
Polymorph energy (0 for the lowest one) ... 0 meV per atom

a b c (Å): 4.174 4.174 5.801
angles (deg): 68.92 68.92 59.99
Atoms (fractional coordinates):
Fe  0.055  0.055  0.834
Fe  0.445  0.445  0.666
La  0.250  0.250  0.250
W  0.750  0.750  0.750


[3]
## Tb6Zn2In (PBE)

Data for an optimized crystal structure of Tb6Zn2In.

DOS at the Fermi energy ... 1.529 states/eV per atom
Total DFT energy (no corrections) ... -3.680 eV/atom
Formation enthalpy at 0 K ... -0.1 eV per formula unit
Polymorph energy (0 for the lowest one) ... 241 meV per atom

a b c (Å): 5.012 5.012 11.413
angles (deg): 102.68 102.68 90.00
Atoms (fractional coordinates):
Tb  0.910  0.410  0.820
Tb  0.410  0.910  0.820
Tb  0.090  0.590  0.180
Tb  0.750  0.250  0.500
Tb  0.250  0.750  0.500
Tb  0.590  0.090  0.180
Zn  0.332  0.332  0.663
Zn  0.668  0.668  0.337
In  0.000  0.000  0.000